# 1
Computed, not measured: crystalline Ba2NiAg at its relaxed geometry at the PBE-GGA level of DFT.

Geometry as POSCAR:
```
Ba2NiAg
1.0
4.691 0.000 0.000
0.000 2.313 6.165
0.000 -2.313 6.165
Ba Ni Ag
2 1 1
Direct
0.000 0.000 0.000
0.500 0.277 0.277
0.500 0.583 0.583
0.000 0.697 0.697
```

Output
As for the excess energy over the best structure of this formula in the dataset: 0.000 eV/atom. The energy relative to the elements comes out at -0.050 eV per atom.

# 2
Computed, not measured: crystalline NdHfCo at its relaxed geometry at the PBE-GGA level of DFT.

Geometry as POSCAR:
```
NdHfCo
1.0
4.520 0.000 0.000
0.000 4.520 0.000
0.000 0.000 6.438
Nd Hf Co
2 2 2
Direct
0.250 0.250 0.118
0.750 0.750 0.882
0.250 0.750 0.500
0.750 0.250 0.500
0.250 0.250 0.694
0.750 0.750 0.306
```

Output
The energy relative to the elements comes out at -0.214 eV per atom.

# 3
Computed, not measured: crystalline AcPmCuIr at its relaxed geometry at the PBE-GGA level of DFT.

Geometry as POSCAR:
```
AcPmCuIr
1.0
4.488 0.000 0.000
0.000 2.035 5.501
0.000 -2.035 5.501
Ac Pm Cu Ir
1 1 1 1
Direct
0.000 0.000 0.000
0.500 0.724 0.724
0.500 0.426 0.426
0.000 0.280 0.280
```

Output
As for the excess energy over the best structure of this formula in the dataset: 0.000 eV/atom. The energy relative to the elements comes out at -0.426 eV per atom.

# 4
Computed, not measured: crystalline BaCaTeO6 at its relaxed geometry at the PBE-GGA level of DFT.

Geometry as POSCAR:
```
BaCaTeO6
1.0
5.832 0.000 0.000
-2.916 5.051 0.000
0.000 0.000 5.528
Ba Ca Te O
1 1 1 6
Direct
0.000 0.000 0.000
0.333 0.667 0.500
0.667 0.333 0.500
0.395 0.055 0.697
0.395 0.340 0.303
0.660 0.055 0.303
0.660 0.605 0.697
0.945 0.340 0.697
0.945 0.605 0.303
```

Output
The value obtained for the energy is -51.891 eV per cell.